No. 1
The following is a DFT calculation (PBE-GGA) of InAg2Sb after structural relaxation.

Lattice parameters (Å, degrees): 3.205 3.205 8.579 90.00 90.00 90.00
Sites, in units of the cell vectors:
In1 0.000 0.000 0.000
Ag1 0.500 0.500 0.240
Ag2 0.500 0.500 0.760
Sb1 0.000 0.000 0.500


No. 2
The following is a DFT calculation (PBE-GGA) of InAg6Sb after structural relaxation.

Lattice parameters (Å, degrees): 4.266 4.266 8.544 90.00 90.00 90.00
Sites, in units of the cell vectors:
In1 0.000 0.000 0.000
Ag1 0.000 0.500 0.246
Ag2 0.000 0.500 0.754
Ag3 0.500 0.000 0.246
Ag4 0.500 0.000 0.754
Ag5 0.500 0.500 0.000
Ag6 0.500 0.500 0.500
Sb1 0.000 0.000 0.500

Properties
distance to the lowest polymorph of the same formula = 7 meV per atom


No. 3
The following is a DFT calculation (PBE-GGA) of InAg2Sb after structural relaxation.

Lattice parameters (Å, degrees): 6.950 6.950 6.950 153.67 140.91 47.75
Sites, in units of the cell vectors:
In1 0.000 0.000 0.000
Ag1 0.449 0.449 0.000
Ag2 0.656 0.156 0.500
Sb1 0.248 0.748 0.500


No. 4
The following is a DFT calculation (PBE-GGA) of In2Ag2Sb after structural relaxation.

Lattice parameters (Å, degrees): 8.252 8.252 3.404 90.00 90.00 90.00
Sites, in units of the cell vectors:
In1 0.169 0.331 0.000
In2 0.331 0.831 0.000
In3 0.669 0.169 0.000
In4 0.831 0.669 0.000
Ag1 0.127 0.627 0.500
Ag2 0.373 0.127 0.500
Ag3 0.627 0.873 0.500
Ag4 0.873 0.373 0.500
Sb1 0.000 0.000 0.500
Sb2 0.500 0.500 0.500

Properties
distance to the lowest polymorph of the same formula = 0 meV per atom


No. 5
The following is a DFT calculation (PBE-GGA) of InAg14Sb after structural relaxation.

Lattice parameters (Å, degrees): 9.614 5.998 5.998 60.42 90.00 90.00
Sites, in units of the cell vectors:
In1 0.000 0.000 0.000
Ag1 0.000 0.003 0.500
Ag2 0.000 0.500 0.003
Ag3 0.254 0.835 0.835
Ag4 0.255 0.335 0.335
Ag5 0.258 0.336 0.840
Ag6 0.258 0.840 0.336
Ag7 0.500 0.168 0.668
Ag8 0.500 0.170 0.170
Ag9 0.500 0.668 0.168
Ag10 0.500 0.669 0.669
Ag11 0.742 0.336 0.840
Ag12 0.742 0.840 0.336
Ag13 0.745 0.335 0.335
Ag14 0.746 0.835 0.835
Sb1 0.000 0.504 0.504


No. 6
The following is a DFT calculation (PBE-GGA) of InAgSb2 after structural relaxation.

Lattice parameters (Å, degrees): 3.186 3.186 10.236 90.00 90.00 94.37
Sites, in units of the cell vectors:
In1 0.000 0.000 0.000
Ag1 0.000 0.000 0.500
Sb1 0.500 0.500 0.285
Sb2 0.500 0.500 0.715


ΔE_f (raw) in eV/atom, matching the order above: 0.1004 0.0084 0.0711 0.0690 0.0360 0.1280
Final energy in Ry/atom, matching the order above: -0.2235 -0.2196 -0.2256 -0.2199 -0.2122 -0.2448
DOS(E_F) in states/eV/cell, matching the order above: 1.93 2.73 1.47 4.23 3.19 2.09